1.
The following is a GGA-PBE calculation of an optimized crystal structure of Sm2ScPb, from the Alexandria database.

Properties
- Density of states at the Fermi level: 0.801 states/eV per atom
- Total magnetization: 0.00 μB/cell
- DFT formation energy: -258.3 meV per atom
- Volume: 28.97 A^3/atom

abc: 4.2209 4.2209 6.5052
angles: 90.00 90.00 90.00
Closest atoms and distances in Å follow each position.
Positions (direct):
Pb 0.5000 0.5000 0.5000  2 Sc 3.25, 8 Sm 3.37
Sc 0.5000 0.5000 0.0000  2 Pb 3.25, 8 Sm 3.43
Sm 0.0000 0.0000 0.7414  2 Sm 3.14-3.36, 4 Pb 3.37, 4 Sc 3.43
Sm 0.0000 0.0000 0.2586  2 Sm 3.14-3.36, 4 Pb 3.37, 4 Sc 3.43

2.
The following is a GGA-PBE calculation of an optimized crystal structure of MnB2Rh2, from the Alexandria database.

Properties
- Density of states at the Fermi level: 1.048 states/eV per atom
- Total magnetization: 0.00 μB/cell
- DFT formation energy: -31.0 meV per atom
- Volume: 10.23 A^3/atom

abc: 6.1931 6.1931 2.6664
angles: 90.00 90.00 90.00
Closest atoms and distances in Å follow each position.
Positions (direct):
B 0.3554 0.8554 0.0000  6 Rh 2.18-2.30, 2 Mn 2.38
B 0.8554 0.6446 0.0000  6 Rh 2.18-2.30, 2 Mn 2.38
B 0.6446 0.1446 0.0000  6 Rh 2.18-2.30, 2 Mn 2.38
B 0.1446 0.3554 0.0000  6 Rh 2.18-2.30, 2 Mn 2.38
Mn 0.0000 0.0000 0.0000  4 B 2.38
Mn 0.5000 0.5000 0.0000  4 B 2.38
Rh 0.1584 0.6584 0.5000  6 B 2.18-2.30
Rh 0.6584 0.8416 0.5000  6 B 2.18-2.30
Rh 0.8416 0.3416 0.5000  6 B 2.18-2.30
Rh 0.3416 0.1584 0.5000  6 B 2.18-2.30

3.
The following is a GGA-PBE calculation of an optimized crystal structure of DyBe9Tc2, from the Alexandria database.

Properties
- Density of states at the Fermi level: 0.379 states/eV per atom
- Total magnetization: 0.00 μB/cell
- DFT formation energy: -257.1 meV per atom
- Volume: 10.41 A^3/atom

abc: 4.4710 4.4710 14.4261
angles: 90.00 90.00 120.00
Closest atoms and distances in Å follow each position.
Positions (direct):
Dy 0.3333 0.6667 0.7500  6 Be 2.58
Dy 0.6667 0.3333 0.2500  6 Be 2.58
Be 0.0000 0.0000 0.0000  6 Be 2.17
Be 0.0000 0.0000 0.5000  6 Be 2.17
Be 0.0000 0.0000 0.2500  6 Be 2.29
Be 0.0000 0.0000 0.7500  6 Be 2.29
Be 0.3333 0.6667 0.2500  6 Be 2.27
Be 0.6667 0.3333 0.7500  6 Be 2.27
Be 0.1695 0.3390 0.1196  7 Be 2.17-2.29
Be 0.6610 0.8305 0.1196  7 Be 2.17-2.29
Be 0.1695 0.8305 0.1196  7 Be 2.17-2.29
Be 0.8305 0.6610 0.6196  7 Be 2.17-2.29
Be 0.3390 0.1695 0.6196  7 Be 2.17-2.29
Be 0.8305 0.1695 0.6196  7 Be 2.17-2.29
Be 0.3390 0.1695 0.8804  7 Be 2.17-2.29
Be 0.8305 0.6610 0.8804  7 Be 2.17-2.29
Be 0.8305 0.1695 0.8804  7 Be 2.17-2.29
Be 0.6610 0.8305 0.3804  7 Be 2.17-2.29
Be 0.1695 0.3390 0.3804  7 Be 2.17-2.29
Be 0.1695 0.8305 0.3804  7 Be 2.17-2.29
Tc 0.3333 0.6667 0.5303  12 Be 2.51-2.62, 3 Tc 2.73
Tc 0.6667 0.3333 0.0303  12 Be 2.51-2.62, 3 Tc 2.73
Tc 0.6667 0.3333 0.4697  12 Be 2.51-2.62, 3 Tc 2.73
Tc 0.3333 0.6667 0.9697  12 Be 2.51-2.62, 3 Tc 2.73

4.
The following is a GGA-PBE calculation of an optimized crystal structure of Sc6Te2Rh, from the Alexandria database.

Properties
- Density of states at the Fermi level: 1.222 states/eV per atom
- Total magnetization: 0.00 μB/cell
- Formation energy from raw total energies: -0.7988 eV/atom
- Volume: 22.13 A^3/atom

abc: 7.7937 7.7937 3.7868
angles: 90.00 90.00 120.00
Closest atoms and distances in Å follow each position.
Positions (direct):
Sc 0.2427 0.0000 0.0000  2 Rh 2.68
Sc 0.7573 0.7573 0.0000  2 Rh 2.68
Sc 0.0000 0.2427 0.0000  2 Rh 2.68
Sc 0.6084 0.0000 0.5000  1 Rh 3.05, 4 Te 3.06, 4 Sc 3.27
Sc 0.3916 0.3916 0.5000  1 Rh 3.05, 4 Te 3.06, 4 Sc 3.27
Sc 0.0000 0.6084 0.5000  1 Rh 3.05, 4 Te 3.06, 4 Sc 3.27
Te 0.6667 0.3333 0.0000  9 Sc 3.01-3.06
Te 0.3333 0.6667 0.0000  9 Sc 3.01-3.06
Rh 0.0000 0.0000 0.5000  6 Sc 2.68

5.
The following is a GGA-PBE calculation of an optimized crystal structure of NdTm2Cd2, from the Alexandria database.

Properties
- Density of states at the Fermi level: 0.845 states/eV per atom
- Total magnetization: 0.00 μB/cell
- DFT formation energy: -10.5 meV per atom
- Volume: 30.27 A^3/atom

abc: 4.9543 4.9543 12.8195
angles: 101.14 101.14 90.00
Closest atoms and distances in Å follow each position.
Positions (direct):
Nd 0.6272 0.6272 0.2544  8 Cd 3.77-4.00, 8 Tm 3.77-3.91
Nd 0.3728 0.3728 0.7456  8 Cd 3.77-4.00, 8 Tm 3.77-3.91
Tm 0.7500 0.2500 0.5000  4 Cd 2.97
Tm 0.9291 0.9291 0.8582  5 Cd 2.78-3.03
Tm 0.0709 0.0709 0.1418  5 Cd 2.78-3.03
Tm 0.2500 0.7500 0.5000  4 Cd 2.97
Cd 0.0000 0.5000 0.0000  4 Tm 3.03
Cd 0.1834 0.1834 0.3669  5 Tm 2.78-2.97
Cd 0.5000 0.0000 0.0000  4 Tm 3.03
Cd 0.8166 0.8166 0.6331  5 Tm 2.78-2.97